A plane-wave DFT calculation with meta-GGA SCAN was carried out for a PBEsol-optimized structure of RbNaAsBr2.

Lattice parameters (Å, degrees): 5.550 5.615 5.615 90.00 90.00 90.00
Each line ends with the local moment (μB).
Positions (direct):
As  0.500  0.000  0.000  1.21
Na  0.000  0.000  0.000  0.02
Br  0.000  0.000  0.500  0.12
Br  0.000  0.500  0.000  0.12
Rb  0.500  0.500  0.500  0.01

Output
- uncorrected energy (eV/atom) = -17.565
- E_form (uncorrected) (eV/atom) = -0.75